Record 1
Density functional theory data (PBE) for Ce2NdSmS4 after structural relaxation.

Summary:
For the density of states at the Fermi level, the calculation gives 11.5 states/eV per cell. Its uncorrected formation energy is -2039 meV per atom.

Geometry as CIF:
```
data_Ce2NdSmS4
_cell_length_a 6.988
_cell_length_b 4.027
_cell_length_c 6.996
_cell_angle_alpha 90.00
_cell_angle_beta 109.42
_cell_angle_gamma 90.00
_symmetry_space_group_name_H-M 'P 1 2/m 1'
_symmetry_Int_Tables_number 10
loop_
_symmetry_equiv_pos_as_xyz
'x,y,z'
'-x,-y,-z'
'-x,y,-z'
'x,-y,z'
loop_
_atom_site_label
_atom_site_type_symbol
_atom_site_fract_x
_atom_site_fract_y
_atom_site_fract_z
Ce1 Ce 0.000 0.000 0.000
Ce2 Ce 0.500 0.500 0.000
Nd1 Nd 0.000 0.500 0.500
Sm1 Sm 0.500 0.000 0.500
S1 S 0.253 0.000 0.751
S2 S 0.253 0.500 0.251
```

***

Record 2
Density functional theory data (PBE) for Ce3NdSm4S8 after structural relaxation.

Summary:
For the density of states at the Fermi level, the calculation gives 55.8 states/eV per cell. Its uncorrected formation energy is -2038 meV per atom.

Geometry as CIF:
```
data_Ce3NdSm4S8
_cell_length_a 8.0420
_cell_length_b 8.0420
_cell_length_c 19.7236
_cell_angle_alpha 90.00
_cell_angle_beta 90.00
_cell_angle_gamma 120.00
_symmetry_space_group_name_H-M 'R -3 m'
_symmetry_Int_Tables_number 166
_symmetry_space_group_name_Hall '-R 3 2"'
loop_
_atom_site_label
_atom_site_type_symbol
_atom_site_fract_x
_atom_site_fract_y
_atom_site_fract_z
Ce1 Ce 0.0000 0.5000 0.0000
Nd1 Nd 0.0000 0.0000 0.0000
Sm1 Sm 0.0000 0.0000 0.5000
Sm2 Sm 0.0000 0.5000 0.5000
S1 S 0.0000 0.0000 0.2493
S2 S 0.0017 0.5008 0.2491
```

***

Record 3
Density functional theory data (PBE) for CeNd3Sm4S8 after structural relaxation.

Summary:
For the density of states at the Fermi level, the calculation gives 34.1 states/eV per cell. Its uncorrected formation energy is -2029 meV per atom.

Geometry as CIF:
```
data_CeNd3Sm4S8
_cell_length_a 8.0607
_cell_length_b 8.0607
_cell_length_c 19.7899
_cell_angle_alpha 90.00
_cell_angle_beta 90.00
_cell_angle_gamma 120.00
_symmetry_space_group_name_H-M 'R -3 m'
_symmetry_Int_Tables_number 166
_symmetry_space_group_name_Hall '-R 3 2"'
loop_
_atom_site_label
_atom_site_type_symbol
_atom_site_fract_x
_atom_site_fract_y
_atom_site_fract_z
Ce1 Ce 0.0000 0.0000 0.0000
Nd1 Nd 0.0000 0.5000 0.0000
Sm1 Sm 0.0000 0.0000 0.5000
Sm2 Sm 0.0000 0.5000 0.5000
S1 S 0.0000 0.0000 0.2481
S2 S 0.0025 0.5012 0.7512
```

***

Record 4
Density functional theory data (PBE) for Ce3Nd2SmS6 after structural relaxation.

Summary:
For the density of states at the Fermi level, the calculation gives 33.9 states/eV per cell. Its uncorrected formation energy is -2040 meV per atom.

Geometry as CIF:
```
data_Ce3Nd2SmS6
_cell_length_a 6.993
_cell_length_b 12.118
_cell_length_c 7.003
_cell_angle_alpha 90.00
_cell_angle_beta 109.50
_cell_angle_gamma 90.00
_symmetry_space_group_name_H-M 'C 1 2/m 1'
_symmetry_Int_Tables_number 12
loop_
_symmetry_equiv_pos_as_xyz
'x,y,z'
'-x,-y,-z'
'-x,y,-z'
'x,-y,z'
'x+1/2,y+1/2,z'
'-x+1/2,-y+1/2,-z'
'-x+1/2,y+1/2,-z'
'x+1/2,-y+1/2,z'
loop_
_atom_site_label
_atom_site_type_symbol
_atom_site_fract_x
_atom_site_fract_y
_atom_site_fract_z
Ce1 Ce 0.000 0.000 0.000
Ce2 Ce 0.000 0.332 0.000
Nd1 Nd 0.000 0.167 0.500
Sm1 Sm 0.000 0.500 0.500
S1 S 0.246 0.500 0.248
S2 S 0.249 0.335 0.751
```

***

Record 5
Density functional theory data (PBE) for CeNd4Sm3S8 after structural relaxation.

Summary:
For the density of states at the Fermi level, the calculation gives 32.3 states/eV per cell. Its uncorrected formation energy is -2030 meV per atom.

Geometry as CIF:
```
data_CeNd4Sm3S8
_cell_length_a 8.0809
_cell_length_b 8.0809
_cell_length_c 19.7963
_cell_angle_alpha 90.00
_cell_angle_beta 90.00
_cell_angle_gamma 120.00
_symmetry_space_group_name_H-M 'R -3 m'
_symmetry_Int_Tables_number 166
_symmetry_space_group_name_Hall '-R 3 2"'
loop_
_atom_site_label
_atom_site_type_symbol
_atom_site_fract_x
_atom_site_fract_y
_atom_site_fract_z
Ce1 Ce 0.0000 0.0000 0.0000
Nd1 Nd 0.0000 0.0000 0.5000
Nd2 Nd 0.0000 0.5000 0.5000
Sm1 Sm 0.0000 0.5000 0.0000
S1 S 0.0000 0.0000 0.2519
S2 S 0.9998 0.4999 0.2519
```

***

Record 6
Density functional theory data (PBE) for CeNdSm2S4 after structural relaxation.

Summary:
For the density of states at the Fermi level, the calculation gives 7.8 states/eV per cell. Its uncorrected formation energy is -2035 meV per atom.

Geometry as CIF:
```
data_CeNdSm2S4
_cell_length_a 6.978
_cell_length_b 4.014
_cell_length_c 6.993
_cell_angle_alpha 90.00
_cell_angle_beta 109.31
_cell_angle_gamma 90.00
_symmetry_space_group_name_H-M 'P 1 2/m 1'
_symmetry_Int_Tables_number 10
loop_
_symmetry_equiv_pos_as_xyz
'x,y,z'
'-x,-y,-z'
'-x,y,-z'
'x,-y,z'
loop_
_atom_site_label
_atom_site_type_symbol
_atom_site_fract_x
_atom_site_fract_y
_atom_site_fract_z
Ce1 Ce 0.000 0.000 0.000
Nd1 Nd 0.500 0.500 0.000
Sm1 Sm 0.000 0.500 0.500
Sm2 Sm 0.500 0.000 0.500
S1 S 0.247 0.000 0.746
S2 S 0.249 0.500 0.253
```

***

Record 7
Density functional theory data (PBE) for CeNd3Sm2S6 after structural relaxation.

Summary:
For the density of states at the Fermi level, the calculation gives 17.5 states/eV per cell. Its uncorrected formation energy is -2034 meV per atom.

Geometry as CIF:
```
data_CeNd3Sm2S6
_cell_length_a 6.989
_cell_length_b 12.130
_cell_length_c 7.007
_cell_angle_alpha 90.00
_cell_angle_beta 109.53
_cell_angle_gamma 90.00
_symmetry_space_group_name_H-M 'C 1 2/m 1'
_symmetry_Int_Tables_number 12
loop_
_symmetry_equiv_pos_as_xyz
'x,y,z'
'-x,-y,-z'
'-x,y,-z'
'x,-y,z'
'x+1/2,y+1/2,z'
'-x+1/2,-y+1/2,-z'
'-x+1/2,y+1/2,-z'
'x+1/2,-y+1/2,z'
loop_
_atom_site_label
_atom_site_type_symbol
_atom_site_fract_x
_atom_site_fract_y
_atom_site_fract_z
Ce1 Ce 0.000 0.000 0.000
Nd1 Nd 0.000 0.169 0.500
Nd2 Nd 0.000 0.500 0.500
Sm1 Sm 0.000 0.333 0.000
S1 S 0.248 0.166 0.244
S2 S 0.249 0.500 0.246
```

***

Record 8
Density functional theory data (PBE) for CeNdSm4S8 after structural relaxation.

Summary:
For the density of states at the Fermi level, the calculation gives 38.6 states/eV per cell. Its uncorrected formation energy is -1902 meV per atom.

Geometry as CIF:
```
data_CeNdSm4S8
_cell_length_a 8.2764
_cell_length_b 8.2764
_cell_length_c 20.3472
_cell_angle_alpha 90.00
_cell_angle_beta 90.00
_cell_angle_gamma 120.00
_symmetry_space_group_name_H-M 'R 3 m'
_symmetry_Int_Tables_number 160
_symmetry_space_group_name_Hall 'R 3 -2"'
loop_
_atom_site_label
_atom_site_type_symbol
_atom_site_fract_x
_atom_site_fract_y
_atom_site_fract_z
Ce1 Ce 0.0000 0.0000 0.0000
Nd1 Nd 0.0000 0.0000 0.3746
Sm1 Sm 0.0000 0.0000 0.7493
Sm2 Sm 0.0002 0.5001 0.8746
S1 S 0.0000 0.0000 0.1346
S2 S 0.0000 0.0000 0.6169
S3 S 0.0174 0.5087 0.1282
S4 S 0.1785 0.3569 0.9536
```

***

Record 9
Density functional theory data (PBE) for CeNd3Sm3S8 after structural relaxation.

Summary:
For the density of states at the Fermi level, the calculation gives 37.4 states/eV per cell. Its uncorrected formation energy is -2027 meV per atom.

Geometry as CIF:
```
data_CeNd3Sm3S8
_cell_length_a 8.0658
_cell_length_b 8.0658
_cell_length_c 19.7913
_cell_angle_alpha 90.00
_cell_angle_beta 90.00
_cell_angle_gamma 120.00
_symmetry_space_group_name_H-M 'R -3 m'
_symmetry_Int_Tables_number 166
_symmetry_space_group_name_Hall '-R 3 2"'
loop_
_atom_site_label
_atom_site_type_symbol
_atom_site_fract_x
_atom_site_fract_y
_atom_site_fract_z
Ce1 Ce 0.0000 0.0000 0.0000
Nd1 Nd 0.0000 0.5000 0.5000
Sm1 Sm 0.0000 0.5000 0.0000
S1 S 0.0000 0.0000 0.2517
S2 S 0.0025 0.5012 0.2512
```

***

Record 10
Density functional theory data (PBE) for CeNd2Sm3S6 after structural relaxation.

Summary:
For the density of states at the Fermi level, the calculation gives 17.7 states/eV per cell. Its uncorrected formation energy is -2034 meV per atom.

Geometry as CIF:
```
data_CeNd2Sm3S6
_cell_length_a 6.971
_cell_length_b 12.094
_cell_length_c 6.994
_cell_angle_alpha 90.00
_cell_angle_beta 109.51
_cell_angle_gamma 90.00
_symmetry_space_group_name_H-M 'C 1 2/m 1'
_symmetry_Int_Tables_number 12
loop_
_symmetry_equiv_pos_as_xyz
'x,y,z'
'-x,-y,-z'
'-x,y,-z'
'x,-y,z'
'x+1/2,y+1/2,z'
'-x+1/2,-y+1/2,-z'
'-x+1/2,y+1/2,-z'
'x+1/2,-y+1/2,z'
loop_
_atom_site_label
_atom_site_type_symbol
_atom_site_fract_x
_atom_site_fract_y
_atom_site_fract_z
Ce1 Ce 0.000 0.000 0.000
Nd1 Nd 0.000 0.333 0.000
Sm1 Sm 0.000 0.170 0.500
Sm2 Sm 0.000 0.500 0.500
S1 S 0.245 0.000 0.744
S2 S 0.250 0.165 0.253
```

***

Record 11
Density functional theory data (PBE) for Sr2CeNdS4 after structural relaxation.

Summary:
For the density of states at the Fermi level, the calculation gives 7.9 states/eV per cell. Its uncorrected formation energy is -2030 meV per atom.

Geometry as CIF:
```
data_Sr2CeNdS4
_cell_length_a 7.149
_cell_length_b 4.130
_cell_length_c 7.303
_cell_angle_alpha 90.00
_cell_angle_beta 109.05
_cell_angle_gamma 90.00
_symmetry_space_group_name_H-M 'P 1 2/m 1'
_symmetry_Int_Tables_number 10
loop_
_symmetry_equiv_pos_as_xyz
'x,y,z'
'-x,-y,-z'
'-x,y,-z'
'x,-y,z'
loop_
_atom_site_label
_atom_site_type_symbol
_atom_site_fract_x
_atom_site_fract_y
_atom_site_fract_z
Sr1 Sr 0.000 0.000 0.000
Sr2 Sr 0.500 0.500 0.000
Ce1 Ce 0.000 0.500 0.500
Nd1 Nd 0.500 0.000 0.500
S1 S 0.246 0.000 0.740
S2 S 0.252 0.500 0.260
```

***

Record 12
Density functional theory data (PBE) for SrCe2NdS4 after structural relaxation.

Summary:
For the density of states at the Fermi level, the calculation gives 12.4 states/eV per cell. Its uncorrected formation energy is -2012 meV per atom.

Geometry as CIF:
```
data_SrCe2NdS4
_cell_length_a 7.098
_cell_length_b 4.075
_cell_length_c 7.128
_cell_angle_alpha 90.00
_cell_angle_beta 109.17
_cell_angle_gamma 90.00
_symmetry_space_group_name_H-M 'P 1 2/m 1'
_symmetry_Int_Tables_number 10
loop_
_symmetry_equiv_pos_as_xyz
'x,y,z'
'-x,-y,-z'
'-x,y,-z'
'x,-y,z'
loop_
_atom_site_label
_atom_site_type_symbol
_atom_site_fract_x
_atom_site_fract_y
_atom_site_fract_z
Sr1 Sr 0.000 0.000 0.000
Ce1 Ce 0.000 0.500 0.500
Ce2 Ce 0.500 0.000 0.500
Nd1 Nd 0.500 0.500 0.000
S1 S 0.251 0.000 0.746
S2 S 0.256 0.500 0.257
```

***

Repeat the first record exactly.
Density functional theory data (PBE) for Ce2NdSmS4 after structural relaxation.

Summary:
For the density of states at the Fermi level, the calculation gives 11.5 states/eV per cell. Its uncorrected formation energy is -2039 meV per atom.

Geometry as CIF:
```
data_Ce2NdSmS4
_cell_length_a 6.988
_cell_length_b 4.027
_cell_length_c 6.996
_cell_angle_alpha 90.00
_cell_angle_beta 109.42
_cell_angle_gamma 90.00
_symmetry_space_group_name_H-M 'P 1 2/m 1'
_symmetry_Int_Tables_number 10
loop_
_symmetry_equiv_pos_as_xyz
'x,y,z'
'-x,-y,-z'
'-x,y,-z'
'x,-y,z'
loop_
_atom_site_label
_atom_site_type_symbol
_atom_site_fract_x
_atom_site_fract_y
_atom_site_fract_z
Ce1 Ce 0.000 0.000 0.000
Ce2 Ce 0.500 0.500 0.000
Nd1 Nd 0.000 0.500 0.500
Sm1 Sm 0.500 0.000 0.500
S1 S 0.253 0.000 0.751
S2 S 0.253 0.500 0.251
```

***

> What is the density of states at the Fermi level in the tenth record?

17.7 states/eV per cell